Entry 1:
DFT (PBE) results for a geometry-optimized NbTe2Os structure.

Total DFT energy (no corrections): -49.6 eV per cell
Magnetization: 2.66 μB/cell
Formation energy without anion corrections: 0.699 eV/atom
Crystal system: tetragonal

Cell and atoms, written as CIF:
```
data_NbTe2Os
_chemical_formula_sum 'Nb2 Te4 Os2'
_cell_length_a 7.386
_cell_length_b 7.386
_cell_length_c 7.386
_cell_angle_alpha 130.55
_cell_angle_beta 130.55
_cell_angle_gamma 72.53
_symmetry_space_group_name_H-M 'P 1'
_symmetry_Int_Tables_number 1
_symmetry_space_group_name_Hall 'P 1'
loop_
_atom_site_label
_atom_site_type_symbol
_atom_site_fract_x
_atom_site_fract_y
_atom_site_fract_z
Nb1 Nb 0.000 0.000 0.000
Nb2 Nb 0.750 0.250 0.500
Te1 Te 0.149 0.625 0.024
Te2 Te 0.375 0.399 0.524
Te3 Te 0.601 0.125 0.976
Te4 Te 0.875 0.851 0.476
Os1 Os 0.250 0.750 0.500
Os2 Os 0.500 0.500 0.000
```

=====

Entry 2:
DFT (PBE) results for a geometry-optimized Nb2Te6Os structure.

Total DFT energy (no corrections): -102.0 eV per cell
Magnetization: 0.00 μB/cell
Formation energy without anion corrections: -0.085 eV/atom
Crystal system: monoclinic

Cell and atoms, written as CIF:
```
data_Nb2Te6Os
_chemical_formula_sum 'Nb4 Te12 Os2'
_cell_length_a 7.135
_cell_length_b 7.050
_cell_length_c 10.709
_cell_angle_alpha 90.00
_cell_angle_beta 124.46
_cell_angle_gamma 90.00
_symmetry_space_group_name_H-M 'P 1'
_symmetry_Int_Tables_number 1
_symmetry_space_group_name_Hall 'P 1'
loop_
_atom_site_label
_atom_site_type_symbol
_atom_site_fract_x
_atom_site_fract_y
_atom_site_fract_z
Nb1 Nb 0.244 0.149 0.246
Nb2 Nb 0.244 0.351 0.746
Nb3 Nb 0.756 0.649 0.254
Nb4 Nb 0.756 0.851 0.754
Te1 Te 0.086 0.164 0.923
Te2 Te 0.086 0.336 0.423
Te3 Te 0.294 0.657 0.942
Te4 Te 0.294 0.843 0.442
Te5 Te 0.403 0.508 0.265
Te6 Te 0.403 0.992 0.765
Te7 Te 0.597 0.008 0.235
Te8 Te 0.597 0.492 0.735
Te9 Te 0.706 0.157 0.558
Te10 Te 0.706 0.343 0.058
Te11 Te 0.914 0.664 0.577
Te12 Te 0.914 0.836 0.077
Os1 Os 0.000 0.000 0.500
Os2 Os 0.000 0.500 0.000
```

=====

Entry 3:
DFT (PBE) results for a geometry-optimized NbTe2Os structure.

Total DFT energy (no corrections): -113.2 eV per cell
Magnetization: 0.00 μB/cell
Formation energy without anion corrections: -0.181 eV/atom
Crystal system: monoclinic

Cell and atoms, written as CIF:
```
data_NbTe2Os
_chemical_formula_sum 'Nb4 Te8 Os4'
_cell_length_a 8.672
_cell_length_b 6.333
_cell_length_c 8.149
_cell_angle_alpha 90.00
_cell_angle_beta 115.07
_cell_angle_gamma 90.00
_symmetry_space_group_name_H-M 'P 1'
_symmetry_Int_Tables_number 1
_symmetry_space_group_name_Hall 'P 1'
loop_
_atom_site_label
_atom_site_type_symbol
_atom_site_fract_x
_atom_site_fract_y
_atom_site_fract_z
Nb1 Nb 0.030 0.033 0.329
Nb2 Nb 0.030 0.467 0.829
Nb3 Nb 0.970 0.533 0.171
Nb4 Nb 0.970 0.967 0.671
Te1 Te 0.235 0.250 0.164
Te2 Te 0.235 0.250 0.664
Te3 Te 0.313 0.749 0.401
Te4 Te 0.313 0.751 0.901
Te5 Te 0.687 0.249 0.099
Te6 Te 0.687 0.251 0.599
Te7 Te 0.765 0.750 0.336
Te8 Te 0.765 0.750 0.836
Os1 Os 0.102 0.654 0.551
Os2 Os 0.102 0.846 0.051
Os3 Os 0.898 0.154 0.949
Os4 Os 0.898 0.346 0.449
```